[1]
SrHf2TiCu: relaxed, PBE-GGA.

Lattice parameters (Å, degrees): 4.9623 4.9623 5.1298 90.00 90.00 90.00
Fractional positions:
Sr: 0.0000 0.0000 0.0000
Hf: 0.0000 0.5000 0.5000
Hf: 0.5000 0.0000 0.5000
Ti: 0.5000 0.5000 0.5000
Cu: 0.5000 0.5000 0.0000

Calculated values
symmetry	P4/mmm

***

[2]
HfTaCu4: relaxed, PBE-GGA.

Lattice parameters (Å, degrees): 4.9758 4.9758 4.9758 60.00 60.00 60.00
Fractional positions:
Hf: 0.0000 0.0000 0.0000
Ta: 0.2500 0.2500 0.2500
Cu: 0.1255 0.6248 0.6248
Cu: 0.6248 0.1255 0.6248
Cu: 0.6248 0.6248 0.1255
Cu: 0.6248 0.6248 0.6248

Calculated values
symmetry	F-43m

***

[3]
HfTaCu3: relaxed, PBE-GGA.

Lattice parameters (Å, degrees): 4.6141 4.6141 4.6141 90.00 90.00 90.00
Fractional positions:
Hf: 0.0000 0.0000 0.0000
Ta: 0.5000 0.5000 0.5000
Cu: 0.0000 0.5000 0.5000
Cu: 0.5000 0.0000 0.5000
Cu: 0.5000 0.5000 0.0000

Calculated values
ΔE to the lowest computed polymorph	0.0000	eV/atom
symmetry	Pm-3m

***

| no. | size of the total moment (μB/f.u.) | formation energy (kJ/mol of atoms) | uncorrected energy (eV/atom) |
| --- | --- | --- | --- |
| 1 | 0.00 | 70 | -5.99 |
| 2 | 2.53 | 5 | -6.32 |
| 3 | 0.00 | 121 | -5.57 |